Entry from the Alexandria database: a geometry-optimized BaMgTlPb2 structure (PBE). Values from VASP.

Properties
- symmetry = I-4m2 (119)
- energy relative to the elements (meV per atom) = -276

Cell and atoms, written as Quantum ESPRESSO input:
```
&SYSTEM
  ibrav = 0, nat = 5, ntyp = 4
/
ATOMIC_SPECIES
Pb 207.20 Pb.upf
Mg 24.30 Mg.upf
Tl 204.38 Tl.upf
Ba 137.33 Ba.upf
CELL_PARAMETERS angstrom
-0.325 -3.486 -3.389
3.661 2.060 -2.470
2.983 -3.227 6.537
ATOMIC_POSITIONS angstrom
Pb 3.605 -3.054 2.796
Pb 2.714 -1.599 -2.119
Mg 2.163 -3.713 0.109
Tl 4.156 -0.940 0.568
Ba 0.000 0.000 0.000
```